First-principles (PBE-GGA) data for a relaxed structure of RbBe2Tl, as listed in the Alexandria database.

Structure (CIF):
```
data_RbBe2Tl
_chemical_formula_sum 'Rb4 Be8 Tl4'
_cell_length_a 5.462
_cell_length_b 5.462
_cell_length_c 15.599
_cell_angle_alpha 90.00
_cell_angle_beta 90.00
_cell_angle_gamma 90.00
_space_group_name_H-M_alt 'I 41/a m d'
_space_group_IT_number 141
loop_
_space_group_symop_operation_xyz
'x,y,z'
'-x,-y,-z'
'-y+1/4,x+3/4,z+1/4'
'y+1/4,-x+3/4,-z+1/4'
'-x+1/2,-y,z+1/2'
'x+1/2,y,-z+1/2'
'y+1/4,-x+1/4,z+3/4'
'-y+1/4,x+1/4,-z+3/4'
'x,-y,-z'
'-x,y,z'
'-y+1/4,-x+1/4,-z+3/4'
'y+1/4,x+1/4,z+3/4'
'-x+1/2,y,-z+1/2'
'x+1/2,-y,z+1/2'
'y+1/4,x+3/4,-z+1/4'
'-y+1/4,-x+3/4,z+1/4'
'x+1/2,y+1/2,z+1/2'
'-x+1/2,-y+1/2,-z+1/2'
'-y+3/4,x+1/4,z+3/4'
'y+3/4,-x+1/4,-z+3/4'
'-x,-y+1/2,z'
'x,y+1/2,-z'
'y+3/4,-x+3/4,z+1/4'
'-y+3/4,x+3/4,-z+1/4'
'x+1/2,-y+1/2,-z+1/2'
'-x+1/2,y+1/2,z+1/2'
'-y+3/4,-x+3/4,-z+1/4'
'y+3/4,x+3/4,z+1/4'
'-x,y+1/2,-z'
'x,-y+1/2,z'
'y+3/4,x+1/4,-z+3/4'
'-y+3/4,-x+1/4,z+3/4'
loop_
_atom_site_label
_atom_site_type_symbol
_atom_site_fract_x
_atom_site_fract_y
_atom_site_fract_z
Rb1 Rb 0.000 0.250 0.375
Be1 Be 0.000 0.000 0.000
Tl1 Tl 0.000 0.250 0.875
```

Calculated values
As for the formation enthalpy at 0 K: 0.729 eV/atom.